Model i:
The following is a PBE-GGA calculation of crystalline BeHgS2 at its relaxed geometry, from Alexandria via LeMat-Bulk.

Lattice parameters (Å, degrees): 17.332 7.264 7.264 83.19 117.03 62.97
Element x y z (fractional)
Be 0.347 0.579 0.041
Be 0.153 0.541 0.079
Be 0.653 0.421 0.959
Be 0.847 0.459 0.921
Be 0.347 0.081 0.114
Be 0.153 0.614 0.581
Be 0.653 0.919 0.886
Be 0.847 0.386 0.419
S 0.063 0.724 0.720
S 0.437 0.220 0.224
S 0.937 0.276 0.280
S 0.563 0.780 0.776
S 0.749 0.275 0.316
S 0.751 0.816 0.775
S 0.251 0.725 0.684
S 0.249 0.184 0.225
S 0.428 0.737 0.148
S 0.072 0.648 0.237
S 0.572 0.263 0.852
S 0.928 0.352 0.763
S 0.750 0.338 0.838
S 0.250 0.662 0.162
S 0.750 0.750 0.250
S 0.250 0.250 0.750
Hg 0.119 0.086 0.020
Hg 0.381 0.520 0.586
Hg 0.881 0.914 0.980
Hg 0.619 0.480 0.414
Hg 0.398 0.005 0.729
Hg 0.102 0.229 0.505
Hg 0.602 0.995 0.271
Hg 0.898 0.771 0.495

Computed properties:
- Crystal system: monoclinic
- Fermi-level density of states: 0.00 states/eV/f.u.


Model ii:
The following is a PBE-GGA calculation of crystalline BeHgS2 at its relaxed geometry, from Alexandria via LeMat-Bulk.

Lattice parameters (Å, degrees): 12.711 12.711 4.015 90.00 90.00 164.79
Element x y z (fractional)
Be 0.333 0.667 0.250
Be 0.667 0.333 0.750
S 0.252 0.748 0.250
S 0.748 0.252 0.750
S 0.875 0.125 0.250
S 0.125 0.875 0.750
Hg 0.043 0.957 0.250
Hg 0.957 0.043 0.750

Computed properties:
- Crystal system: orthorhombic
- Fermi-level density of states: 1.34 states/eV/f.u.


It comes down to model i, which is 237 meV/atom more stable than the next structure.


Model i:
The following is a PBE-GGA calculation of crystalline B5C7 at its relaxed geometry, from Alexandria via LeMat-Bulk.

Lattice parameters (Å, degrees): 4.471 4.471 8.350 118.96 118.96 32.31
Element x y z (fractional)
B 0.639 0.639 0.358
B 0.344 0.344 0.176
B 0.134 0.134 0.204
B 0.855 0.855 0.023
B 0.522 0.522 0.860
C 0.473 0.473 0.400
C 0.034 0.034 0.991
C 0.682 0.682 0.812
C 0.331 0.331 0.661
C 0.174 0.174 0.703
C 0.982 0.982 0.508
C 0.828 0.828 0.555

Computed properties:
- Crystal system: monoclinic
- Fermi-level density of states: 1.30 states/eV/f.u.


Model ii:
The following is a PBE-GGA calculation of crystalline B5C7 at its relaxed geometry, from Alexandria via LeMat-Bulk.

Lattice parameters (Å, degrees): 2.612 4.631 6.760 91.94 90.00 90.00
Element x y z (fractional)
B 0.500 0.828 0.354
B 0.500 0.462 0.310
B 0.500 0.513 0.943
B 0.000 0.338 0.589
B 0.000 0.019 0.220
C 0.500 0.164 0.907
C 0.000 0.676 0.671
C 0.000 0.319 0.344
C 0.000 0.008 0.984
C 0.000 0.688 0.905
C 0.500 0.150 0.678
C 0.500 0.835 0.595

Computed properties:
- Crystal system: monoclinic
- Fermi-level density of states: 2.50 states/eV/f.u.


It comes down to model i, which is 63 meV/atom more stable than the next structure.


Model i:
The following is a PBE-GGA calculation of crystalline ZnTcCl2 at its relaxed geometry, from Alexandria via LeMat-Bulk.

Lattice parameters (Å, degrees): 3.183 3.787 7.628 75.72 90.00 90.00
Site moments in Bohr magnetons follow the coordinates.
Element x y z (fractional)
Zn 0.500 0.720 0.686  -0.01
Tc 0.000 0.275 0.575  0.49
Cl 0.000 0.113 0.900  0.02
Cl 0.500 0.392 0.339  0.03

Computed properties:
- Crystal system: monoclinic
- Fermi-level density of states: 2.26 states/eV/f.u.


Model ii:
The following is a PBE-GGA calculation of crystalline ZnTcCl2 at its relaxed geometry, from Alexandria via LeMat-Bulk.

Lattice parameters (Å, degrees): 3.031 3.031 8.189 90.00 90.00 90.00
Site moments in Bohr magnetons follow the coordinates.
Element x y z (fractional)
Zn 0.500 0.500 0.735  0.01
Tc 0.000 0.000 0.505  0.59
Cl 0.000 0.000 0.921  0.01
Cl 0.500 0.500 0.338  0.06

Computed properties:
- Crystal system: tetragonal
- Fermi-level density of states: 2.27 states/eV/f.u.


It comes down to model i, which is 221 meV/atom more stable than the next structure.


Model i:
The following is a PBE-GGA calculation of crystalline ScAl2Cl at its relaxed geometry, from Alexandria via LeMat-Bulk.

Lattice parameters (Å, degrees): 10.249 10.249 10.249 18.21 18.21 18.21
Site moments in Bohr magnetons follow the coordinates.
Element x y z (fractional)
Sc 0.750 0.750 0.750  0.18
Al 0.009 0.009 0.009  0.01
Al 0.268 0.268 0.268  0.01
Cl 0.473 0.473 0.473  0.00

Computed properties:
- Crystal system: trigonal
- Fermi-level density of states: 2.97 states/eV/f.u.


Model ii:
The following is a PBE-GGA calculation of crystalline ScAl2Cl at its relaxed geometry, from Alexandria via LeMat-Bulk.

Lattice parameters (Å, degrees): 6.402 5.276 3.132 89.73 61.22 117.63
Element x y z (fractional)
Sc 0.500 0.500 0.000
Al 0.000 0.000 0.000
Al 0.500 0.000 0.500
Cl 0.000 0.500 0.500

Computed properties:
- Crystal system: monoclinic
- Fermi-level density of states: 3.37 states/eV/f.u.


It comes down to model i, which is 298 meV/atom more stable than the next structure.


Model i:
The following is a PBE-GGA calculation of crystalline LiYCl2 at its relaxed geometry, from Alexandria via LeMat-Bulk.

Lattice parameters (Å, degrees): 4.681 4.681 3.512 90.00 90.00 90.06
Element x y z (fractional)
Cl 0.000 0.000 0.000
Cl 0.500 0.500 0.000
Li 0.500 0.000 0.500
Y 0.000 0.500 0.500

Computed properties:
- Crystal system: tetragonal
- Fermi-level density of states: 1.62 states/eV/f.u.


Model ii:
The following is a PBE-GGA calculation of crystalline LiYCl2 at its relaxed geometry, from Alexandria via LeMat-Bulk.

Lattice parameters (Å, degrees): 3.480 3.480 7.269 90.00 90.00 90.00
Site moments in Bohr magnetons follow the coordinates.
Element x y z (fractional)
Cl 0.000 0.000 0.999  0.02
Cl 0.500 0.500 0.387  0.02
Li 0.000 0.000 0.356  0.01
Y 0.500 0.500 0.759  0.15

Computed properties:
- Crystal system: tetragonal
- Fermi-level density of states: 1.41 states/eV/f.u.


It comes down to model ii, which is 279 meV/atom more stable than the next structure.


Model i:
The following is a PBE-GGA calculation of crystalline InTeRu2 at its relaxed geometry, from Alexandria via LeMat-Bulk.

Lattice parameters (Å, degrees): 5.518 5.518 5.518 138.92 138.92 59.49
Element x y z (fractional)
In 0.750 0.250 0.500
Ru 0.000 0.000 0.000
Ru 0.250 0.750 0.500
Te 0.500 0.500 0.000

Computed properties:
- Crystal system: tetragonal
- Fermi-level density of states: 6.17 states/eV/f.u.


Model ii:
The following is a PBE-GGA calculation of crystalline InTeRu2 at its relaxed geometry, from Alexandria via LeMat-Bulk.

Lattice parameters (Å, degrees): 4.701 4.701 4.701 60.00 60.00 60.00
Site moments in Bohr magnetons follow the coordinates.
Element x y z (fractional)
In 0.500 0.500 0.500  -0.01
Ru 0.000 0.000 0.000  0.47
Ru 0.250 0.250 0.250  0.39
Te 0.750 0.750 0.750  -0.01

Computed properties:
- Crystal system: cubic
- Fermi-level density of states: 5.63 states/eV/f.u.


It comes down to model i, which is 220 meV/atom more stable than the next structure.


Model i:
The following is a PBE-GGA calculation of crystalline ZnSi2Se at its relaxed geometry, from Alexandria via LeMat-Bulk.

Lattice parameters (Å, degrees): 2.838 2.838 9.135 90.00 90.00 102.98
Element x y z (fractional)
Se 0.500 0.500 0.711
Si 0.000 0.000 0.057
Si 0.500 0.500 0.257
Zn 0.000 0.000 0.475

Computed properties:
- Crystal system: orthorhombic
- Fermi-level density of states: 1.24 states/eV/f.u.


Model ii:
The following is a PBE-GGA calculation of crystalline ZnSi2Se at its relaxed geometry, from Alexandria via LeMat-Bulk.

Lattice parameters (Å, degrees): 2.666 5.085 5.166 90.00 90.00 90.00
Element x y z (fractional)
Se 0.500 0.500 0.750
Si 0.000 0.000 0.012
Si 0.000 0.000 0.488
Zn 0.500 0.500 0.250

Computed properties:
- Crystal system: orthorhombic
- Fermi-level density of states: 1.37 states/eV/f.u.


It comes down to model i, which is 34 meV/atom more stable than the next structure.


Model i:
The following is a PBE-GGA calculation of crystalline ErTm2Se at its relaxed geometry, from Alexandria via LeMat-Bulk.

Lattice parameters (Å, degrees): 3.729 3.729 9.528 78.71 78.71 60.00
Site moments in Bohr magnetons follow the coordinates.
Element x y z (fractional)
Er 0.500 0.500 0.501  0.09
Tm 0.067 0.067 0.799  0.05
Tm 0.267 0.267 0.200  0.01
Se 0.667 0.667 0.000  0.00

Computed properties:
- Crystal system: trigonal
- Fermi-level density of states: 4.32 states/eV/f.u.


Model ii:
The following is a PBE-GGA calculation of crystalline ErTm2Se at its relaxed geometry, from Alexandria via LeMat-Bulk.

Lattice parameters (Å, degrees): 3.635 3.635 10.513 80.04 80.04 60.00
Site moments in Bohr magnetons follow the coordinates.
Element x y z (fractional)
Tm 0.108 0.108 0.677  0.03
Tm 0.892 0.892 0.323  0.03
Se 0.500 0.500 0.500  0.00
Er 0.000 0.000 0.000  0.20

Computed properties:
- Crystal system: trigonal
- Fermi-level density of states: 5.43 states/eV/f.u.


It comes down to model i, which is 296 meV/atom more stable than the next structure.